Material: CuSiIr3
Method: DFT, PBE
State: relaxed

Cell: 4.4014 4.4014 4.4014 Å, 90.00 90.00 90.00°
Space group Pm-3m (No. 221)
Symmetry-distinct sites (fractional):
1 Cu 0.0000 0.0000 0.0000 (multiplicity 1)
2 Si 0.5000 0.5000 0.5000 (multiplicity 1)
3 Ir 0.0000 0.5000 0.5000 (multiplicity 3)

## Properties
Magnetic moment in μB/f.u.: 0.04
Crystal system: cubic
Energy above the lowest structure with this stoichiometry in meV/atom: 0
Formation energy without anion corrections in eV/atom: 0.838


Material: Nd3Er2Al3
Method: DFT, PBE
State: relaxed

Cell: 8.5845 8.5845 3.3115 Å, 90.00 90.00 120.00°
Space group P-62m (No. 189)
Symmetry-distinct sites (fractional):
1 Nd 0.0000 0.2448 0.0000 (multiplicity 3)
2 Er 0.3333 0.6667 0.0000 (multiplicity 2)
3 Al 0.0000 0.6104 0.5000 (multiplicity 3)

## Properties
Magnetic moment in μB/f.u.: 0.00
Total DFT energy (no corrections) in eV per cell: -36.5
Crystal system: hexagonal


Material: Ga2AsP
Method: DFT, PBE
State: relaxed

Cell: 3.9763 3.9763 19.4716 Å, 90.00 90.00 120.00°
Space group R3m (No. 160, hexagonal axes)
Symmetry-distinct sites (fractional):
1 Ga 0.0000 0.0000 0.0000 (multiplicity 3)
2 Ga 0.0000 0.0000 0.4947 (multiplicity 3)
3 As 0.0000 0.0000 0.8725 (multiplicity 3)
4 P 0.0000 0.0000 0.3723 (multiplicity 3)

## Properties
Magnetic moment in μB/f.u.: 0.00
Crystal system: trigonal
Energy above the lowest structure with this stoichiometry in meV/atom: 11


Material: Er5Sn12Rh2
Method: DFT, PBE
State: relaxed

Cell: 15.9031 7.2689 8.8628 Å, 90.00 104.63 90.00°
Space group C2/m (No. 12)
Symmetry-distinct sites (fractional):
1 Er 0.0000 0.0000 0.0000 (multiplicity 2)
2 Er 0.1659 0.5000 0.4953 (multiplicity 4)
3 Er 0.2135 0.5000 0.9997 (multiplicity 4)
4 Sn 0.0041 0.5000 0.2070 (multiplicity 4)
5 Sn 0.0625 0.0000 0.3879 (multiplicity 4)
6 Sn 0.1226 0.2054 0.7566 (multiplicity 8)
7 Sn 0.1861 0.2073 0.2351 (multiplicity 8)
8 Rh 0.0000 0.3059 0.5000 (multiplicity 4)

## Properties
Magnetic moment in μB/f.u.: 0.00
Total DFT energy (no corrections) in eV per cell: -185.3
Crystal system: monoclinic


Material: Ba3Tl3In8
Method: DFT, PBE
State: relaxed

Cell: 5.0285 11.7045 15.1494 Å, 90.00 90.00 90.00°
Space group Immm (No. 71)
Symmetry-distinct sites (fractional):
1 Ba 0.0000 0.0000 0.0000 (multiplicity 2)
2 Ba 0.0000 0.0000 0.3159 (multiplicity 4)
3 Tl 0.0000 0.2068 0.5000 (multiplicity 4)
4 Tl 0.0000 0.5000 0.0000 (multiplicity 2)
5 In 0.0000 0.2693 0.1524 (multiplicity 8)
6 In 0.0000 0.3740 0.3372 (multiplicity 8)

## Properties
Magnetic moment in μB/f.u.: 0.00
Total DFT energy (no corrections) in eV per cell: -79.1
Crystal system: orthorhombic


Material: TbHo6Tm4
Method: DFT, PBE
State: relaxed

Cell: 5.5921 9.5650 25.3973 Å, 90.00 90.00 90.00°
Space group Cmcm (No. 63)
Symmetry-distinct sites (fractional):
1 Tb 0.0000 0.1770 0.2500 (multiplicity 4)
2 Ho 0.0000 0.1548 0.6812 (multiplicity 8)
3 Ho 0.0000 0.1783 0.1028 (multiplicity 8)
4 Ho 0.0000 0.4891 0.7500 (multiplicity 4)
5 Ho 0.0000 0.5000 0.0000 (multiplicity 4)
6 Tm 0.0000 0.1621 0.5423 (multiplicity 8)
7 Tm 0.0000 0.4861 0.6215 (multiplicity 8)

## Properties
Magnetic moment in μB/f.u.: 0.00
Crystal system: orthorhombic
Energy above the lowest structure with this stoichiometry in meV/atom: 0


Material: La4Pm4Sm
Method: DFT, PBE
State: relaxed

Cell: 11.0444 11.0444 5.2390 Å, 90.00 90.00 90.00°
Space group I4/mmm (No. 139)
Symmetry-distinct sites (fractional):
1 La 0.1667 0.1667 0.0000 (multiplicity 8)
2 Pm 0.0000 0.3347 0.5000 (multiplicity 8)
3 Sm 0.0000 0.0000 0.5000 (multiplicity 2)

## Properties
Magnetic moment in μB/f.u.: 0.00
Total DFT energy (no corrections) in eV per cell: -86.5
Crystal system: tetragonal


Material: Pm3Y7Er2
Method: DFT, PBE
State: relaxed

Cell: 5.7563 38.1943 3.5888 Å, 90.00 90.00 90.00°
Space group Cmmm (No. 65)
Symmetry-distinct sites (fractional):
1 Pm 0.0000 0.0000 0.0000 (multiplicity 2)
2 Pm 0.0000 0.3161 0.5000 (multiplicity 4)
3 Y 0.0000 0.0724 0.5000 (multiplicity 4)
4 Y 0.0000 0.2304 0.0000 (multiplicity 4)
5 Y 0.0000 0.4082 0.0000 (multiplicity 4)
6 Y 0.0000 0.5000 0.5000 (multiplicity 2)
7 Er 0.0000 0.1467 0.0000 (multiplicity 4)

## Properties
Magnetic moment in μB/f.u.: 0.00
Crystal system: orthorhombic
Energy above the lowest structure with this stoichiometry in meV/atom: 29


Material: La6CoPd2Cl3
Method: DFT, PBE
State: relaxed

Cell: 7.1747 12.8069 7.9116 Å, 90.00 106.57 90.00°
Space group C2/m (No. 12)
Symmetry-distinct sites (fractional):
1 La 0.2270 0.1574 0.2071 (multiplicity 8)
2 La 0.2421 0.0000 0.7966 (multiplicity 4)
3 Co 0.0000 0.0000 0.0000 (multiplicity 2)
4 Pd 0.0000 0.3332 0.0000 (multiplicity 4)
5 Cl 0.0000 0.1584 0.5000 (multiplicity 4)
6 Cl 0.0000 0.5000 0.5000 (multiplicity 2)

## Properties
Magnetic moment in μB/f.u.: 0.00
Crystal system: monoclinic
Formation energy without anion corrections in eV/atom: -1.111


Material: TlGa2I4
Method: DFT, PBE
State: relaxed

Cell: 9.1481 9.1481 7.6164 Å, 90.00 90.00 90.00°
Space group I4/m (No. 87)
Symmetry-distinct sites (fractional):
1 Tl 0.0000 0.0000 0.0000 (multiplicity 2)
2 Ga 0.0000 0.5000 0.2500 (multiplicity 4)
3 I 0.1685 0.6918 0.5000 (multiplicity 8)

## Properties
Magnetic moment in μB/f.u.: 0.00
Crystal system: tetragonal
Energy above the lowest structure with this stoichiometry in meV/atom: 0
Formation energy without anion corrections in eV/atom: -0.316


Material: RbBP3
Method: DFT, PBE
State: relaxed

Cell: 5.5300 5.5300 5.5300 Å, 90.00 90.00 90.00°
Space group Pm-3m (No. 221)
Symmetry-distinct sites (fractional):
1 Rb 0.0000 0.0000 0.0000 (multiplicity 1)
2 B 0.5000 0.5000 0.5000 (multiplicity 1)
3 P 0.0000 0.0000 0.5000 (multiplicity 3)

## Properties
Magnetic moment in μB/f.u.: 2.26
Crystal system: cubic
Energy above the lowest structure with this stoichiometry in meV/atom: 2094


Material: LiBi2Pd8
Method: DFT, PBE
State: relaxed

Cell: 4.0472 7.9233 12.0269 Å, 90.00 90.00 90.00°
Space group Immm (No. 71)
Symmetry-distinct sites (fractional):
1 Li 0.0000 0.0000 0.0000 (multiplicity 2)
2 Bi 0.0000 0.0000 0.3394 (multiplicity 4)
3 Pd 0.0000 0.2490 0.1620 (multiplicity 8)
4 Pd 0.0000 0.2546 0.5000 (multiplicity 4)
5 Pd 0.0000 0.5000 0.3382 (multiplicity 4)

## Properties
Magnetic moment in μB/f.u.: 0.00
Crystal system: orthorhombic
Energy above the lowest structure with this stoichiometry in meV/atom: 0


The records above give, respectively, density values of 13.01, 6.66, 4.58, 8.26, 7.24, 8.92, 6.68, 5.86, 5.77, 4.44, 1.86, 10.99 g cm⁻³.